Record 1
This record from OQMD via LeMat-Bulk describes crystalline NbTlPdS3 at its relaxed geometry. The functional is PBE.

Properties
M_tot in μB/cell: 0.0
Calculated total energy in eV/atom: -5.682

Lattice parameters (Å, degrees): 7.9344 3.5831 9.7866 90.00 112.39 90.00
Closest atoms and distances in Å follow each position.
Element x y z (fractional)
Nb 0.7939 0.2500 0.3327  6 S 2.41-2.62
Nb 0.2061 0.7500 0.6673  6 S 2.41-2.62
Pd 0.5621 0.7500 0.1233  4 S 2.39-2.55
Pd 0.4379 0.2500 0.8767  4 S 2.39-2.55
S 0.7590 0.2500 0.0768  1 Nb 2.41, 3 Pd 2.53-2.55
S 0.6008 0.7500 0.3773  1 Pd 2.39, 2 Nb 2.50
S 0.0433 0.7500 0.3788  3 Nb 2.58-2.62
S 0.9567 0.2500 0.6212  3 Nb 2.58-2.62
S 0.3992 0.2500 0.6227  1 Pd 2.39, 2 Nb 2.50
S 0.2410 0.7500 0.9232  1 Nb 2.41, 3 Pd 2.53-2.55
Tl 0.2275 0.2500 0.2032  7 S 3.20-3.44, 2 Pd 3.53
Tl 0.7725 0.7500 0.7968  7 S 3.20-3.44, 2 Pd 3.53

***

Record 2
This record from OQMD via LeMat-Bulk describes crystalline Er6LuTe2Ir2 at its relaxed geometry. The functional is PBE.

Properties
M_tot in μB/cell: 0.0
Calculated total energy in eV/atom: -6.000

Lattice parameters (Å, degrees): 9.3042 9.3042 9.3042 155.73 66.39 119.27
Closest atoms and distances in Å follow each position.
Element x y z (fractional)
Er 0.3964 0.2647 0.1317  2 Ir 2.82, 1 Te 3.09
Er 0.3700 0.0543 0.3156  3 Ir 2.84-3.07, 1 Te 3.14
Er 0.7674 0.4135 0.3540  2 Ir 2.85, 2 Te 3.16
Er 0.0595 0.4135 0.6460  2 Ir 2.85, 2 Te 3.16
Er 0.7387 0.0543 0.6844  3 Ir 2.84-3.07, 1 Te 3.14
Er 0.1331 0.2647 0.8683  2 Ir 2.82, 1 Te 3.09
Ir 0.9921 0.7543 0.2378  7 Er 2.82-3.07
Ir 0.5166 0.7543 0.7622  7 Er 2.82-3.07
Lu 0.6829 0.6829 0.0000  3 Te 3.16
Te 0.0193 0.0193 0.0000  6 Er 3.09-3.16, 1 Lu 3.16
Te 0.4186 0.9186 0.5000  6 Er 3.14-3.18, 2 Lu 3.16

***

Record 3
This record from OQMD via LeMat-Bulk describes crystalline BaNpPb at its relaxed geometry. The functional is PBE.

Properties
M_tot in μB/cell: 5.0
Calculated total energy in eV/atom: -5.714

Lattice parameters (Å, degrees): 5.6488 5.6488 5.6488 60.00 60.00 60.00
Closest atoms and distances in Å follow each position.
Element x y z (fractional)
Ba 0.5000 0.5000 0.5000  4 Pb 3.46
Np 0.0000 0.0000 0.0000  4 Pb 3.46
Pb 0.2500 0.2500 0.2500  4 Ba 3.46, 4 Np 3.46

***

Record 4
This record from OQMD via LeMat-Bulk describes crystalline RbNbF3 at its relaxed geometry. The functional is PBE.

Properties
M_tot in μB/cell: 3.0
Calculated total energy in eV/atom: -3.962

Lattice parameters (Å, degrees): 4.7381 4.7381 4.7381 90.00 90.00 90.00
Closest atoms and distances in Å follow each position.
Element x y z (fractional)
F 0.5000 0.5000 0.0000  2 Rb 2.37
F 0.5000 0.0000 0.5000  2 Rb 2.37
F 0.0000 0.5000 0.5000  2 Rb 2.37
Nb 0.0000 0.0000 0.0000  12 F 3.35
Rb 0.5000 0.5000 0.5000  6 F 2.37

***

Record 5
This record from OQMD via LeMat-Bulk describes crystalline YAgAsO at its relaxed geometry. The functional is PBE.

Properties
M_tot in μB/cell: 0.0
Calculated total energy in eV/atom: -6.321

Lattice parameters (Å, degrees): 3.9741 3.9741 9.2771 90.00 90.00 90.00
Closest atoms and distances in Å follow each position.
Element x y z (fractional)
Ag 0.0000 0.0000 0.5000  4 As 2.70, 4 Ag 2.81
Ag 0.5000 0.5000 0.5000  4 As 2.70, 4 Ag 2.81
As 0.5000 0.0000 0.3030  4 Ag 2.70
As 0.0000 0.5000 0.6970  4 Ag 2.70
O 0.0000 0.0000 0.0000  4 Y 2.26
O 0.5000 0.5000 0.0000  4 Y 2.26
Y 0.0000 0.5000 0.1163  4 O 2.26
Y 0.5000 0.0000 0.8837  4 O 2.26

***

Record 6
This record from OQMD via LeMat-Bulk describes crystalline Sr2Si2Ni3 at its relaxed geometry. The functional is PBE.

Properties
M_tot in μB/cell: 0.0
Calculated total energy in eV/atom: -4.810

Lattice parameters (Å, degrees): 10.2293 10.2293 10.2293 22.60 22.60 22.60
Closest atoms and distances in Å follow each position.
Element x y z (fractional)
Ni 0.3501 0.3501 0.3501  3 Si 2.34, 3 Ni 2.43
Ni 0.6587 0.6587 0.6587  3 Si 2.34, 3 Ni 2.43
Ni 0.8494 0.8494 0.8494  3 Si 2.33
Si 0.0042 0.0042 0.0042  6 Ni 2.34
Si 0.5063 0.5063 0.5063  3 Ni 2.33
Sr 0.2502 0.2502 0.2502  7 Ni 2.99-3.23, 3 Si 3.27
Sr 0.7562 0.7562 0.7562  2 Ni 2.79-2.91

***

Record 7
This record from OQMD via LeMat-Bulk describes crystalline GdIr at its relaxed geometry. The functional is PBE.

Properties
M_tot in μB/cell: 0.0
Calculated formation energy in meV per atom: 205.3
Calculated total energy in eV/atom: -6.549

Lattice parameters (Å, degrees): 4.4180 4.4180 4.4180 60.00 60.00 60.00
Closest atoms and distances in Å follow each position.
Element x y z (fractional)
Gd 0.0000 0.0000 0.0000  4 Ir 2.71
Ir 0.2500 0.2500 0.2500  4 Gd 2.71

***

Record 8
This record from OQMD via LeMat-Bulk describes crystalline CsHfCdAu at its relaxed geometry. The functional is PBE.

Properties
M_tot in μB/cell: 0.0
Calculated total energy in eV/atom: -3.083

Lattice parameters (Å, degrees): 5.1716 5.1716 5.1716 60.00 60.00 60.00
Closest atoms and distances in Å follow each position.
Element x y z (fractional)
Au 0.7500 0.7500 0.7500  4 Hf 3.17, 4 Cd 3.17
Cd 0.0000 0.0000 0.0000  4 Cs 3.17, 4 Au 3.17
Cs 0.2500 0.2500 0.2500  4 Cd 3.17, 4 Hf 3.17
Hf 0.5000 0.5000 0.5000  4 Au 3.17, 4 Cs 3.17

***

Record 9
This record from OQMD via LeMat-Bulk describes crystalline Rb2Na2HgP2 at its relaxed geometry. The functional is PBE.

Properties
Calculated total energy in eV/atom: -2.520

Lattice parameters (Å, degrees): 9.0842 9.0842 9.0842 36.17 36.17 36.17
Closest atoms and distances in Å follow each position.
Element x y z (fractional)
Hg 0.0000 0.0000 0.0000  2 P 2.43
Na 0.2061 0.2061 0.2061  1 P 2.82
Na 0.7939 0.7939 0.7939  1 P 2.82
P 0.0954 0.0954 0.0954  1 Hg 2.43
P 0.9046 0.9046 0.9046  1 Hg 2.43
Rb 0.3962 0.3962 0.3962  3 P 3.36, 3 Hg 3.63, 3 Na 3.64
Rb 0.6038 0.6038 0.6038  3 P 3.36, 3 Hg 3.63, 3 Na 3.64

***

Record 10
This record from OQMD via LeMat-Bulk describes crystalline Gd3In3PdPt2 at its relaxed geometry. The functional is PBE.

Properties
M_tot in μB/cell: 0.0
Calculated total energy in eV/atom: -5.340

Lattice parameters (Å, degrees): 7.7177 7.7177 3.8907 90.00 90.00 120.00
Closest atoms and distances in Å follow each position.
Element x y z (fractional)
Gd 0.5889 0.0000 0.5000  4 Pt 3.04, 1 Pd 3.17, 6 In 3.21-3.39
Gd 0.4111 0.4111 0.5000  4 Pt 3.04, 1 Pd 3.17, 6 In 3.21-3.39
Gd 0.0000 0.5889 0.5000  4 Pt 3.04, 1 Pd 3.17, 6 In 3.21-3.39
In 0.2573 0.0000 0.0000  2 Pd 2.78, 2 Pt 2.91
In 0.0000 0.2573 0.0000  2 Pd 2.78, 2 Pt 2.91
In 0.7427 0.7427 0.0000  2 Pd 2.78, 2 Pt 2.91
Pd 0.0000 0.0000 0.5000  6 In 2.78
Pt 0.6667 0.3333 0.0000  3 In 2.91, 6 Gd 3.04
Pt 0.3333 0.6667 0.0000  3 In 2.91, 6 Gd 3.04

***

Record 11
This record from OQMD via LeMat-Bulk describes crystalline InMoPb2 at its relaxed geometry. The functional is PBE.

Properties
M_tot in μB/cell: 3.0
Calculated total energy in eV/atom: -4.486

Lattice parameters (Å, degrees): 5.2283 5.2283 5.2283 60.00 60.00 60.00
Closest atoms and distances in Å follow each position.
Element x y z (fractional)
In 0.5000 0.5000 0.5000  4 Pb 3.20, 4 Mo 3.20
Mo 0.2500 0.2500 0.2500  4 In 3.20, 4 Pb 3.20
Pb 0.0000 0.0000 0.0000  4 Mo 3.20, 4 Pb 3.20
Pb 0.7500 0.7500 0.7500  4 In 3.20, 4 Pb 3.20

***

Record 12
This record from OQMD via LeMat-Bulk describes crystalline BaSrPdPb2 at its relaxed geometry. The functional is PBE.

Properties
Calculated total energy in eV/atom: -3.666

Lattice parameters (Å, degrees): 6.7652 6.7652 6.7652 132.23 132.23 69.86
Closest atoms and distances in Å follow each position.
Element x y z (fractional)
Ba 0.7019 0.7019 0.0000  1 Pd 3.61, 8 Pb 3.79-4.01, 4 Sr 3.97
Pb 0.9658 0.4658 0.5000  2 Pd 2.82
Pb 0.4658 0.9658 0.5000  2 Pd 2.82
Pd 0.0274 0.0274 0.0000  1 Sr 2.80, 4 Pb 2.82
Sr 0.2801 0.2801 0.0000  1 Pd 2.80

***

Record 13
This record from OQMD via LeMat-Bulk describes crystalline ReN at its relaxed geometry. The functional is PBE.

Properties
M_tot in μB/cell: 0.0
Calculated total energy in eV/atom: -9.938

Lattice parameters (Å, degrees): 2.6933 2.6933 6.2216 90.00 90.00 90.00
Closest atoms and distances in Å follow each position.
Element x y z (fractional)
N 0.0000 0.0000 0.2500  4 Re 2.06
N 0.0000 0.0000 0.7500  4 Re 2.06
Re 0.0000 0.5000 0.0000  4 N 2.06
Re 0.5000 0.0000 0.5000  4 N 2.06

***

Record 14
This record from OQMD via LeMat-Bulk describes crystalline LuZn2 at its relaxed geometry. The functional is PBE.

Properties
M_tot in μB/cell: 0.0
Calculated formation energy in meV per atom: -218.8
Calculated total energy in eV/atom: -2.570

Lattice parameters (Å, degrees): 13.9114 3.4498 4.6679 90.00 90.00 90.00
Closest atoms and distances in Å follow each position.
Element x y z (fractional)
Lu 0.6400 0.0000 0.0000  8 Zn 2.89-3.19
Lu 0.1400 0.5000 0.0000  8 Zn 2.89-3.19
Lu 0.8045 0.0000 0.5000  8 Zn 2.89-3.19
Lu 0.3045 0.5000 0.5000  8 Zn 2.89-3.19
Zn 0.3331 0.0000 0.0000  2 Zn 2.60
Zn 0.9732 0.0000 0.0000  6 Zn 2.60-2.90, 2 Lu 2.89
Zn 0.4732 0.5000 0.0000  6 Zn 2.60-2.90, 2 Lu 2.89
Zn 0.8331 0.5000 0.0000  2 Zn 2.60
Zn 0.1114 0.0000 0.5000  2 Zn 2.60
Zn 0.4712 0.0000 0.5000  6 Zn 2.60-2.90, 2 Lu 2.89
Zn 0.6113 0.5000 0.5000  2 Zn 2.60
Zn 0.9712 0.5000 0.5000  6 Zn 2.60-2.90, 2 Lu 2.89

***

Record 15
This record from OQMD via LeMat-Bulk describes crystalline CoReAgSb at its relaxed geometry. The functional is PBE.

Properties
M_tot in μB/cell: 0.8
Calculated total energy in eV/atom: -6.005

Lattice parameters (Å, degrees): 4.4831 4.4831 4.4831 60.00 60.00 60.00
Closest atoms and distances in Å follow each position.
Element x y z (fractional)
Ag 0.5000 0.5000 0.5000  4 Co 2.75, 4 Re 2.75
Co 0.7500 0.7500 0.7500  4 Ag 2.75, 4 Sb 2.75
Re 0.2500 0.2500 0.2500  4 Sb 2.75, 4 Ag 2.75
Sb 0.0000 0.0000 0.0000  4 Re 2.75, 4 Co 2.75

***

Record 16
This record from OQMD via LeMat-Bulk describes crystalline ErPu4Au5 at its relaxed geometry. The functional is PBE.

Properties
M_tot in μB/cell: 23.3
Calculated formation energy in meV per atom: -576.2
Calculated total energy in eV/atom: -8.316

Lattice parameters (Å, degrees): 3.5254 3.5254 19.1673 90.00 90.00 90.00
Closest atoms and distances in Å follow each position.
Element x y z (fractional)
Au 0.5000 0.5000 0.0895  4 Er 3.03, 4 Pu 3.22
Au 0.5000 0.5000 0.2972  8 Pu 3.16, 4 Au 3.53
Au 0.5000 0.5000 0.5000  8 Pu 3.16, 4 Au 3.53
Au 0.5000 0.5000 0.7028  8 Pu 3.16, 4 Au 3.53
Au 0.5000 0.5000 0.9105  4 Er 3.03, 4 Pu 3.22
Er 0.0000 0.0000 0.0000  8 Au 3.03
Pu 0.0000 0.0000 0.1960  8 Au 3.16-3.22, 4 Pu 3.53
Pu 0.0000 0.0000 0.3986  8 Au 3.16, 4 Pu 3.53
Pu 0.0000 0.0000 0.6014  8 Au 3.16, 4 Pu 3.53
Pu 0.0000 0.0000 0.8040  8 Au 3.16-3.22, 4 Pu 3.53

***

Record 17
This record from OQMD via LeMat-Bulk describes crystalline KLuCd at its relaxed geometry. The functional is PBE.

Properties
M_tot in μB/cell: 0.1
Calculated total energy in eV/atom: -1.689

Lattice parameters (Å, degrees): 5.4066 5.4066 5.4066 60.00 60.00 60.00
Closest atoms and distances in Å follow each position.
Element x y z (fractional)
Cd 0.0000 0.0000 0.0000  4 Lu 3.31, 4 K 3.31
K 0.2500 0.2500 0.2500  4 Cd 3.31
Lu 0.7500 0.7500 0.7500  4 Cd 3.31

***

Record 18
This record from OQMD via LeMat-Bulk describes crystalline DyHfAl2Pd4 at its relaxed geometry. The functional is PBE.

Properties
M_tot in μB/cell: 0.0
Calculated total energy in eV/atom: -6.221

Lattice parameters (Å, degrees): 4.3316 4.3316 8.8658 90.00 90.00 120.00
Closest atoms and distances in Å follow each position.
Element x y z (fractional)
Al 0.6667 0.3333 0.2619  6 Pd 2.60-2.61
Al 0.6667 0.3333 0.7381  6 Pd 2.60-2.61
Dy 0.3333 0.6667 0.0000  8 Pd 2.95-3.04
Hf 0.0000 0.0000 0.5000  8 Pd 2.86
Pd 0.0000 0.0000 0.1773  3 Al 2.61, 1 Hf 2.86, 3 Pd 2.90
Pd 0.3333 0.6667 0.3428  3 Al 2.60, 4 Pd 2.79-2.90, 3 Hf 2.86
Pd 0.3333 0.6667 0.6572  3 Al 2.60, 4 Pd 2.79-2.90, 3 Hf 2.86
Pd 0.0000 0.0000 0.8227  3 Al 2.61, 1 Hf 2.86, 3 Pd 2.90

***

Record 19
This record from OQMD via LeMat-Bulk describes crystalline Pr4GeO3 at its relaxed geometry. The functional is PBE.

Properties
M_tot in μB/cell: 0.0
Calculated total energy in eV/atom: -6.868

Lattice parameters (Å, degrees): 6.5560 6.5560 6.5560 131.03 131.03 71.76
Closest atoms and distances in Å follow each position.
Element x y z (fractional)
Ge 0.0000 0.0000 0.0000  6 Pr 2.72-2.85
O 0.5000 0.5000 0.0000  6 Pr 2.46-2.72
O 0.7500 0.2500 0.5000  6 Pr 2.66-2.72
O 0.2500 0.7500 0.5000  6 Pr 2.66-2.72
Pr 0.2683 0.2683 0.0000  5 O 2.46-2.72
Pr 0.7317 0.7317 0.0000  5 O 2.46-2.72
Pr 0.5000 0.0000 0.5000  4 O 2.66-2.72, 2 Ge 2.72
Pr 0.0000 0.5000 0.5000  4 O 2.66-2.72, 2 Ge 2.72

***

Record 20
This record from OQMD via LeMat-Bulk describes crystalline Na2ZnPtO4 at its relaxed geometry. The functional is PBE.

Properties
M_tot in μB/cell: 0.0
Calculated total energy in eV/atom: -4.720

Lattice parameters (Å, degrees): 4.4248 4.4116 9.9594 90.00 116.33 90.00
Closest atoms and distances in Å follow each position.
Element x y z (fractional)
Na 0.5595 0.7479 0.0004  6 O 2.22-2.46
Na 0.8097 0.2508 0.2496  6 O 2.22-2.48
Na 0.5595 0.2521 0.5004  6 O 2.22-2.46
Na 0.8097 0.7492 0.7496  6 O 2.22-2.48
O 0.0861 0.7495 0.0272  1 Pt 1.99, 2 Zn 2.22, 2 Na 2.22-2.23
O 0.2851 0.2506 0.2247  1 Zn 2.01, 2 Pt 2.22, 2 Na 2.22
O 0.8332 0.7506 0.2753  1 Zn 2.00, 2 Na 2.22, 2 Pt 2.22-2.23
O 0.5311 0.7519 0.4729  1 Pt 1.99, 1 Zn 2.22, 2 Na 2.22
O 0.0861 0.2505 0.5272  1 Pt 1.99, 2 Zn 2.22, 2 Na 2.22-2.23
O 0.2851 0.7494 0.7247  1 Zn 2.01, 2 Pt 2.22, 2 Na 2.22
O 0.8332 0.2494 0.7753  1 Zn 2.00, 2 Na 2.22, 2 Pt 2.22-2.23
O 0.5311 0.2481 0.9729  1 Pt 1.99, 1 Zn 2.22, 2 Na 2.22
Pt 0.3090 0.7507 0.2501  5 O 1.99-2.22
Pt 0.3090 0.2493 0.7501  5 O 1.99-2.22
Zn 0.0602 0.7511 0.4998  6 O 2.00-2.24
Zn 0.0602 0.2489 0.9998  6 O 2.00-2.24